[1]
Below is an optimized crystal structure of InNi3Te2, with properties calculated at the PBE-GGA level.

Cell: 3.8049 16.5693 3.8065 Å, 90.00 90.00 90.00°
Last column: nearest neighbours and their distance in Å.
Atoms (fractional coordinates):
In (0.2500, 0.2500, 0.2483)  4 Ni 2.69
In (0.7500, 0.7500, 0.7517)  4 Ni 2.69
Ni (0.2500, 0.0000, 0.7502)  4 Te 2.52, 4 Ni 2.69
Ni (0.2500, 0.5000, 0.7502)  4 Te 2.52, 4 Ni 2.69
Ni (0.2500, 0.7500, 0.2518)  2 Te 2.49, 4 In 2.69
Ni (0.7500, 0.0000, 0.2498)  4 Te 2.52, 4 Ni 2.69
Ni (0.7500, 0.2500, 0.7482)  2 Te 2.49, 4 In 2.69
Ni (0.7500, 0.5000, 0.2498)  4 Te 2.52, 4 Ni 2.69
Te (0.2500, 0.5996, 0.2504)  5 Ni 2.49-2.52
Te (0.2500, 0.9004, 0.2504)  5 Ni 2.49-2.52
Te (0.7500, 0.0996, 0.7496)  5 Ni 2.49-2.52
Te (0.7500, 0.4004, 0.7496)  5 Ni 2.49-2.52

## Properties
**Calculated volume**: 20.00 Å³ per atom
**E_tot**: -4.5226 eV/atom
**Fermi-level density of states**: 0.923 states/eV/atom

=====

[2]
Below is an optimized crystal structure of In2NiTe, with properties calculated at the PBE-GGA level.

Cell: 4.8916 4.8916 3.8896 Å, 90.00 90.00 90.00°
Last column: nearest neighbours and their distance in Å.
Atoms (fractional coordinates):
In (0.0000, 0.5000, 0.0000)  4 Te 3.12, 4 Ni 3.12, 4 In 3.46
In (0.5000, 0.0000, 0.0000)  4 Te 3.12, 4 Ni 3.12, 4 In 3.46
Ni (0.0000, 0.0000, 0.5000)  8 In 3.12, 4 Te 3.46
Te (0.5000, 0.5000, 0.5000)  8 In 3.12, 4 Ni 3.46

## Properties
**Calculated volume**: 23.27 Å³ per atom
**E_tot**: -3.2919 eV/atom
**Fermi-level density of states**: 0.933 states/eV/atom

=====

[3]
Below is an optimized crystal structure of In2NiTe, with properties calculated at the PBE-GGA level.

Cell: 7.1923 7.1923 7.1923 Å, 90.00 90.00 90.00°
Last column: nearest neighbours and their distance in Å.
Atoms (fractional coordinates):
In (0.0000, 0.0000, 0.0000)  4 In 3.11, 4 Te 3.11
In (0.0000, 0.5000, 0.5000)  4 In 3.11, 4 Te 3.11
In (0.2500, 0.2500, 0.2500)  4 Ni 3.11, 4 In 3.11
In (0.2500, 0.7500, 0.7500)  4 In 3.11, 4 Ni 3.11
In (0.5000, 0.0000, 0.5000)  4 In 3.11, 4 Te 3.11
In (0.5000, 0.5000, 0.0000)  4 In 3.11, 4 Te 3.11
In (0.7500, 0.2500, 0.7500)  4 In 3.11, 4 Ni 3.11
In (0.7500, 0.7500, 0.2500)  4 In 3.11, 4 Ni 3.11
Ni (0.0000, 0.0000, 0.5000)  4 Te 3.11, 4 In 3.11
Ni (0.0000, 0.5000, 0.0000)  4 Te 3.11, 4 In 3.11
Ni (0.5000, 0.0000, 0.0000)  4 Te 3.11, 4 In 3.11
Ni (0.5000, 0.5000, 0.5000)  4 Te 3.11, 4 In 3.11
Te (0.2500, 0.2500, 0.7500)  4 In 3.11, 4 Ni 3.11
Te (0.2500, 0.7500, 0.2500)  4 In 3.11, 4 Ni 3.11
Te (0.7500, 0.2500, 0.2500)  4 In 3.11, 4 Ni 3.11
Te (0.7500, 0.7500, 0.7500)  4 In 3.11, 4 Ni 3.11

## Properties
**Calculated volume**: 23.25 Å³ per atom
**E_tot**: -3.3134 eV/atom
**Fermi-level density of states**: 0.560 states/eV/atom

=====

[4]
Below is an optimized crystal structure of InNi2Te, with properties calculated at the PBE-GGA level.

Cell: 3.0764 4.0627 11.5417 Å, 90.00 90.00 90.00°
Last column: nearest neighbours and their distance in Å.
Atoms (fractional coordinates):
In (0.0000, 0.0000, 0.0000)  6 Ni 2.61-2.68
In (0.5000, 0.5000, 0.5000)  6 Ni 2.61-2.68
Ni (0.0000, 0.0000, 0.5499)  4 In 2.61, 2 Te 2.68, 2 Ni 2.78
Ni (0.0000, 0.5000, 0.8492)  2 In 2.68, 2 Ni 2.78, 4 Te 2.84
Ni (0.5000, 0.0000, 0.3492)  2 In 2.68, 2 Ni 2.78, 4 Te 2.84
Ni (0.5000, 0.5000, 0.0499)  4 In 2.61, 2 Te 2.68, 2 Ni 2.78
Te (0.0000, 0.5000, 0.2405)  6 Ni 2.68-2.84
Te (0.5000, 0.0000, 0.7405)  6 Ni 2.68-2.84

## Properties
**Energy relative to the lowest polymorph listed for this composition**: 231.0 meV/atom
**Calculated volume**: 18.03 Å³ per atom
**Fermi-level density of states**: 0.501 states/eV/atom

=====

[5]
Below is an optimized crystal structure of InNiTe2, with properties calculated at the PBE-GGA level.

Cell: 6.0047 8.2237 5.0405 Å, 90.00 125.38 90.00°
Last column: nearest neighbours and their distance in Å.
Atoms (fractional coordinates):
In (0.0000, 0.0000, 0.0000)  4 Te 2.91, 2 Ni 3.00
In (0.5000, 0.5000, 0.0000)  4 Te 2.91, 2 Ni 3.00
Ni (0.0000, 0.5000, 0.0000)  4 Te 2.91, 2 In 3.00
Ni (0.5000, 0.0000, 0.0000)  4 Te 2.91, 2 In 3.00
Te (0.2500, 0.2500, 0.5000)  2 In 2.91, 2 Ni 2.91, 2 Te 3.00
Te (0.2500, 0.7500, 0.5000)  2 In 2.91, 2 Ni 2.91, 2 Te 3.00
Te (0.7500, 0.2500, 0.5000)  2 In 2.91, 2 Ni 2.91, 2 Te 3.00
Te (0.7500, 0.7500, 0.5000)  2 In 2.91, 2 Ni 2.91, 2 Te 3.00

## Properties
**Calculated volume**: 25.37 Å³ per atom
**E_tot**: -3.5024 eV/atom
**Fermi-level density of states**: 0.547 states/eV/atom

=====

[6]
Below is an optimized crystal structure of InNi2Te3, with properties calculated at the PBE-GGA level.

Cell: 7.4530 7.4530 7.4530 Å, 61.29 61.29 61.29°
Last column: nearest neighbours and their distance in Å.
Atoms (fractional coordinates):
In (0.2394, 0.2394, 0.2394)  3 Ni 2.77
In (0.7606, 0.7606, 0.7606)  3 Ni 2.77
Ni (0.0000, 0.0000, 0.0000)  6 Te 2.57
Ni (0.0000, 0.5000, 0.5000)  4 Te 2.54, 2 In 2.77
Ni (0.5000, 0.0000, 0.5000)  4 Te 2.54, 2 In 2.77
Ni (0.5000, 0.5000, 0.0000)  4 Te 2.54, 2 In 2.77
Te (0.2405, 0.2405, 0.7345)  3 Ni 2.54-2.57
Te (0.2405, 0.7345, 0.2405)  3 Ni 2.54-2.57
Te (0.2655, 0.7595, 0.7595)  3 Ni 2.54-2.57
Te (0.7345, 0.2405, 0.2405)  3 Ni 2.54-2.57
Te (0.7595, 0.2655, 0.7595)  3 Ni 2.54-2.57
Te (0.7595, 0.7595, 0.2655)  3 Ni 2.54-2.57

## Properties
**Calculated volume**: 25.10 Å³ per atom
**E_tot**: -4.1510 eV/atom
**Fermi-level density of states**: 0.286 states/eV/atom

=====

[7]
Below is an optimized crystal structure of InNi2Te, with properties calculated at the PBE-GGA level.

Cell: 6.6141 6.6141 6.6141 Å, 90.00 90.00 90.00°
Last column: nearest neighbours and their distance in Å.
Atoms (fractional coordinates):
In (0.0000, 0.0000, 0.0000)  4 Ni 2.86, 4 Te 2.86
In (0.0000, 0.5000, 0.5000)  4 Ni 2.86, 4 Te 2.86
In (0.5000, 0.0000, 0.5000)  4 Ni 2.86, 4 Te 2.86
In (0.5000, 0.5000, 0.0000)  4 Ni 2.86, 4 Te 2.86
Ni (0.0000, 0.0000, 0.5000)  4 Te 2.86, 4 Ni 2.86
Ni (0.0000, 0.5000, 0.0000)  4 Te 2.86, 4 Ni 2.86
Ni (0.2500, 0.2500, 0.7500)  4 In 2.86, 4 Ni 2.86
Ni (0.2500, 0.7500, 0.2500)  4 In 2.86, 4 Ni 2.86
Ni (0.5000, 0.0000, 0.0000)  4 Te 2.86, 4 Ni 2.86
Ni (0.5000, 0.5000, 0.5000)  4 Te 2.86, 4 Ni 2.86
Ni (0.7500, 0.2500, 0.2500)  4 In 2.86, 4 Ni 2.86
Ni (0.7500, 0.7500, 0.7500)  4 Ni 2.86, 4 In 2.86
Te (0.2500, 0.2500, 0.2500)  4 In 2.86, 4 Ni 2.86
Te (0.2500, 0.7500, 0.7500)  4 In 2.86, 4 Ni 2.86
Te (0.7500, 0.2500, 0.7500)  4 In 2.86, 4 Ni 2.86
Te (0.7500, 0.7500, 0.2500)  4 In 2.86, 4 Ni 2.86

## Properties
**Energy relative to the lowest polymorph listed for this composition**: 664.1 meV/atom
**Calculated volume**: 18.08 Å³ per atom
**Fermi-level density of states**: 1.449 states/eV/atom

=====

[8]
Below is an optimized crystal structure of In2NiTe, with properties calculated at the PBE-GGA level.

Cell: 5.8499 8.2404 3.8479 Å, 90.00 90.00 90.00°
Last column: nearest neighbours and their distance in Å.
Atoms (fractional coordinates):
In (0.2500, 0.2500, 0.0000)  2 In 2.92, 4 Te 3.18, 4 Ni 3.18
In (0.2500, 0.7500, 0.0000)  2 In 2.92, 4 Te 3.18, 4 Ni 3.18
In (0.7500, 0.2500, 0.0000)  2 In 2.92, 4 Te 3.18, 4 Ni 3.18
In (0.7500, 0.7500, 0.0000)  2 In 2.92, 4 Te 3.18, 4 Ni 3.18
Ni (0.0000, 0.0000, 0.5000)  2 Te 2.92, 8 In 3.18
Ni (0.5000, 0.5000, 0.5000)  2 Te 2.92, 8 In 3.18
Te (0.0000, 0.5000, 0.5000)  2 Ni 2.92, 8 In 3.18
Te (0.5000, 0.0000, 0.5000)  2 Ni 2.92, 8 In 3.18

## Properties
**Calculated volume**: 23.19 Å³ per atom
**E_tot**: -3.3360 eV/atom
**Fermi-level density of states**: 0.566 states/eV/atom

=====

[9]
Below is an optimized crystal structure of InNi4Te, with properties calculated at the PBE-GGA level.

Cell: 4.9824 4.9824 4.9824 Å, 60.00 60.00 60.00°
Last column: nearest neighbours and their distance in Å.
Atoms (fractional coordinates):
In (0.0000, 0.0000, 0.0000)  12 Ni 2.92, 4 Te 3.05
Ni (0.3747, 0.3747, 0.3747)  6 Ni 2.49-2.50
Ni (0.3747, 0.3747, 0.8758)  6 Ni 2.49-2.50
Ni (0.3747, 0.8758, 0.3747)  6 Ni 2.49-2.50
Ni (0.8758, 0.3747, 0.3747)  6 Ni 2.49-2.50
Te (0.7500, 0.7500, 0.7500)  12 Ni 2.92, 4 In 3.05

## Properties
**Calculated volume**: 14.58 Å³ per atom
**E_tot**: -4.7087 eV/atom
**Fermi-level density of states**: 0.864 states/eV/atom

=====

[10]
Below is an optimized crystal structure of InNiTe2, with properties calculated at the PBE-GGA level.

Cell: 5.4348 5.4348 6.4084 Å, 90.00 90.00 90.00°
Last column: nearest neighbours and their distance in Å.
Atoms (fractional coordinates):
In (0.0000, 0.0000, 0.0000)  8 Te 3.15, 2 Ni 3.20
In (0.5000, 0.5000, 0.5000)  8 Te 3.15, 2 Ni 3.20
Ni (0.0000, 0.0000, 0.5000)  8 Te 3.15, 2 In 3.20
Ni (0.5000, 0.5000, 0.0000)  8 Te 3.15, 2 In 3.20
Te (0.0000, 0.5000, 0.2500)  4 In 3.15, 4 Ni 3.15, 2 Te 3.20
Te (0.0000, 0.5000, 0.7500)  4 In 3.15, 4 Ni 3.15, 2 Te 3.20
Te (0.5000, 0.0000, 0.2500)  4 In 3.15, 4 Ni 3.15, 2 Te 3.20
Te (0.5000, 0.0000, 0.7500)  4 In 3.15, 4 Ni 3.15, 2 Te 3.20

## Properties
**Calculated volume**: 23.66 Å³ per atom
**E_tot**: -3.3319 eV/atom
**Fermi-level density of states**: 1.020 states/eV/atom

=====

[11]
Below is an optimized crystal structure of InNiTe2, with properties calculated at the PBE-GGA level.

Cell: 3.7047 4.4280 12.5483 Å, 90.00 90.00 90.00°
Last column: nearest neighbours and their distance in Å.
Atoms (fractional coordinates):
In (0.0000, 0.0000, 0.0000)  4 Ni 2.89, 4 Te 2.93
In (0.5000, 0.5000, 0.5000)  4 Ni 2.89, 4 Te 2.93
Ni (0.0000, 0.0000, 0.5000)  4 Te 2.66, 4 In 2.89
Ni (0.5000, 0.5000, 0.0000)  4 Te 2.66, 4 In 2.89
Te (0.0000, 0.5000, 0.1525)  2 Ni 2.66, 2 In 2.93
Te (0.0000, 0.5000, 0.8475)  2 Ni 2.66, 2 In 2.93
Te (0.5000, 0.0000, 0.3475)  2 Ni 2.66, 2 In 2.93
Te (0.5000, 0.0000, 0.6525)  2 Ni 2.66, 2 In 2.93

## Properties
**Calculated volume**: 25.73 Å³ per atom
**E_tot**: -3.7576 eV/atom
**Fermi-level density of states**: 0.467 states/eV/atom

=====

[12]
Below is an optimized crystal structure of InNi2Te, with properties calculated at the PBE-GGA level.

Cell: 4.4673 4.4673 3.3974 Å, 90.00 90.00 90.00°
Last column: nearest neighbours and their distance in Å.
Atoms (fractional coordinates):
In (0.0000, 0.0000, 0.0000)  8 Ni 2.81
Ni (0.0000, 0.5000, 0.5000)  4 In 2.81, 4 Te 2.81
Ni (0.5000, 0.0000, 0.5000)  4 In 2.81, 4 Te 2.81
Te (0.5000, 0.5000, 0.0000)  8 Ni 2.81

## Properties
**Energy relative to the lowest polymorph listed for this composition**: 302.9 meV/atom
**Calculated volume**: 16.95 Å³ per atom
**Fermi-level density of states**: 0.415 states/eV/atom